Zr2TiRh2 after structural relaxation. Source: Alexandria, functional PBE.

Cell and atoms, written as POSCAR:
```
Zr2TiRh2
1.0
-2.716 -7.133 1.677
7.200 -2.930 -0.802
0.533 0.495 2.971
Zr Ti Rh
4 2 4
Cartesian
-0.675 -5.099 0.971
5.159 -4.964 -0.097
2.394 -7.958 0.898
2.090 -2.105 -0.024
2.242 -5.032 0.437
0.000 0.000 0.000
0.485 -6.857 2.631
0.380 -2.695 1.956
4.532 -2.711 1.214
4.636 -6.873 1.889
```

Properties
As for the symmetry: P4/mbm. Its excess energy over the best structure of this formula in the dataset is 147.6 meV/atom. For the formation energy, the calculation gives -0.385 eV per atom.